Record 1
Density functional theory data (GGA-PBE) for KTbFeSe3 after structural relaxation.

Cell lengths 9.9982, 4.1860, 15.3441 Å; angles 90.00, 90.00, 90.00 degrees
Each line ends with the local moment (μB).
Fractional positions:
Fe: 0.1536 0.2500 0.1289  3.17
Fe: 0.6536 0.2500 0.3711  3.17
Fe: 0.3464 0.7500 0.6289  3.17
Fe: 0.8464 0.7500 0.8711  3.17
K: 0.4630 0.7500 0.1761  0.00
K: 0.9630 0.7500 0.3239  0.00
K: 0.0370 0.2500 0.6761  0.00
K: 0.5370 0.2500 0.8239  0.00
Se: 0.3263 0.2500 0.0182  0.10
Se: 0.0218 0.7500 0.1069  0.10
Se: 0.7210 0.2500 0.2245  0.15
Se: 0.2210 0.2500 0.2755  0.15
Se: 0.5218 0.7500 0.3931  0.10
Se: 0.8263 0.2500 0.4818  0.10
Se: 0.1737 0.7500 0.5182  0.10
Se: 0.4782 0.2500 0.6069  0.10
Se: 0.7790 0.7500 0.7245  0.15
Se: 0.2790 0.7500 0.7755  0.15
Se: 0.9782 0.2500 0.8931  0.10
Se: 0.6737 0.7500 0.9818  0.10
Tb: 0.8304 0.2500 0.0597  0.07
Tb: 0.3304 0.2500 0.4403  0.07
Tb: 0.6696 0.7500 0.5597  0.07
Tb: 0.1696 0.7500 0.9403  0.07

Calculated values
DFT total energy in eV/f.u.: -31.3
Crystal system: orthorhombic

=====

Record 2
Density functional theory data (GGA-PBE) for KTbFeSe3 after structural relaxation.

Cell lengths 8.6150, 4.0844, 10.3725 Å; angles 90.00, 109.26, 90.00 degrees
Each line ends with the local moment (μB).
Fractional positions:
Fe: 0.0689 0.2500 0.0870  3.23
Fe: 0.9311 0.7500 0.9130  3.23
K: 0.7424 0.7500 0.2129  0.00
K: 0.2576 0.2500 0.7871  0.00
Se: 0.2262 0.7500 0.0542  0.16
Se: 0.0700 0.2500 0.3216  0.11
Se: 0.5478 0.2500 0.3535  0.03
Se: 0.4522 0.7500 0.6465  0.03
Se: 0.9300 0.7500 0.6784  0.11
Se: 0.7738 0.2500 0.9458  0.16
Tb: 0.3162 0.7500 0.3589  0.04
Tb: 0.6838 0.2500 0.6411  0.04

Calculated values
DFT total energy in eV/f.u.: -31.7
Crystal system: monoclinic